# 1
! NaGaAs3, relaxed, DFT PBEsol; values from VASP
! symmetry	No. 221
! total moment	0.00	μB per cell
! energy above the most stable polymorph in this dataset	0	meV per atom
! energy of formation from the pure elements	1.98	eV/f.u.
! mass density	4.37	g/cm³
&SYSTEM
  ibrav = 0, nat = 5, ntyp = 3
/
ATOMIC_SPECIES
As 74.92 As.upf
Ga 69.72 Ga.upf
Na 22.99 Na.upf
CELL_PARAMETERS angstrom
-1.7986 -2.4884 -3.8730
-2.4514 -3.0018 3.0671
-3.8965 3.0371 -0.1418
ATOMIC_POSITIONS angstrom
As -1.2257 -1.5009 1.5335
As -0.8993 -1.2442 -1.9365
As -1.9482 1.5186 -0.0709
Ga 0.0000 0.0000 0.0000
Na -4.0732 -1.2265 -0.4739

=====

# 2
! Na2Ga2As3, relaxed, DFT PBEsol; values from VASP
! symmetry	No. 14
! total moment	0.00	μB per cell
! energy of formation from the pure elements	-2.77	eV/f.u.
! mass density	4.34	g/cm³
&SYSTEM
  ibrav = 0, nat = 56, ntyp = 3
/
ATOMIC_SPECIES
As 74.92 As.upf
Ga 69.72 Ga.upf
Na 22.99 Na.upf
CELL_PARAMETERS angstrom
6.6538 0.0000 0.0000
0.0000 13.1312 0.0306
0.0000 -0.0429 14.3700
ATOMIC_POSITIONS angstrom
As 6.4601 6.2890 4.9723
As 3.7173 8.6569 8.6565
As 6.2634 8.6783 1.4715
As 3.5641 12.7340 9.6194
As 5.5709 9.8021 11.9068
As 1.0829 3.2862 2.4937
As 1.4112 9.7952 11.8284
As 0.2372 0.3328 11.9661
As 6.2973 2.0776 5.9776
As 3.1332 6.8207 2.2433
As 4.7381 3.2716 9.7571
As 0.3564 11.0107 8.4230
As 4.4097 9.8235 4.7218
As 6.4165 12.7555 2.4344
As 0.1937 6.7993 9.4283
As 2.9705 11.0321 1.2380
As 3.0897 0.3542 4.7812
As 3.5206 6.2676 12.1572
As 0.3904 4.4100 12.9290
As 1.9157 9.8167 4.6434
As 3.6833 2.0562 13.1626
As 2.2440 3.2648 9.6787
As 2.9365 4.4314 5.7440
As 5.2426 3.2930 2.5721
Ga 4.7454 1.1620 11.0871
Ga 1.4519 8.9338 9.5105
Ga 1.7520 5.3978 3.7330
Ga 1.8750 8.9552 2.3256
Ga 5.2352 1.1835 3.9022
Ga 5.0788 7.7120 3.4825
Ga 4.7788 4.1331 12.0750
Ga 4.9197 10.6671 9.6398
Ga 1.5928 2.3997 11.9458
Ga 1.7341 2.4212 4.7608
Ga 1.5749 5.3763 10.9180
Ga 1.4185 11.9048 10.4984
Ga 5.0610 10.6886 2.4548
Ga 4.9018 7.6905 10.6675
Ga 1.9084 11.9263 3.3134
Ga 5.2019 4.1545 4.8900
Na 6.1189 5.7185 1.3291
Na 0.2849 1.0631 8.7617
Na 0.2919 11.2502 14.2340
Na 0.4721 4.5256 7.5313
Na 3.6118 12.0037 12.8239
Na 2.8547 4.5471 0.3463
Na 3.8617 5.6970 8.5141
Na 6.3619 1.8381 0.1666
Na 6.3689 12.0252 5.6389
Na 3.0420 1.0846 1.5767
Na 3.7990 8.5412 14.0542
Na 3.0350 11.2716 7.0490
Na 2.7921 7.3913 5.8864
Na 0.5348 7.3698 13.0714
Na 3.6188 1.8166 7.3516
Na 6.1816 8.5627 6.8692

=====

# 3
! NaGaAs3, relaxed, DFT PBEsol; values from VASP
! symmetry	No. 221
! total moment	0.00	μB per cell
! energy above the most stable polymorph in this dataset	620	meV per atom
! energy of formation from the pure elements	5.08	eV/f.u.
! mass density	4.35	g/cm³
&SYSTEM
  ibrav = 0, nat = 5, ntyp = 3
/
ATOMIC_SPECIES
As 74.92 As.upf
Na 22.99 Na.upf
Ga 69.72 Ga.upf
CELL_PARAMETERS angstrom
-4.8872 -0.4538 -0.6319
0.4490 -4.9279 0.0663
-0.6353 0.0081 4.9078
ATOMIC_POSITIONS angstrom
As -0.3176 0.0041 2.4539
As -2.4436 -0.2269 -0.3159
As 0.2245 -2.4639 0.0331
Na 0.0000 0.0000 0.0000
Ga -2.5367 -2.6868 2.1711

=====

# 4
! Na10NbGaAs6, relaxed, DFT PBEsol; values from VASP
! symmetry	No. 7
! total moment	0.00	μB per cell
! energy of formation from the pure elements	-8.20	eV/f.u.
! mass density	3.36	g/cm³
&SYSTEM
  ibrav = 0, nat = 36, ntyp = 4
/
ATOMIC_SPECIES
Na 22.99 Na.upf
As 74.92 As.upf
Ga 69.72 Ga.upf
Nb 92.91 Nb.upf
CELL_PARAMETERS angstrom
-5.9803 0.2783 -4.4340
-1.4921 -8.0305 1.5084
-7.6815 3.2103 10.5619
ATOMIC_POSITIONS angstrom
Na -9.1071 -2.1053 7.0645
Na -8.4054 -1.0833 1.4396
Na -9.8556 -3.2499 3.8441
Na -2.4157 -0.9726 -0.0756
Na -12.4214 -2.2561 7.3715
Na -8.2098 -0.4730 9.9475
Na -7.1727 -4.6995 6.4797
Na -9.5805 -3.6522 10.0042
Na -4.9857 0.0214 3.4487
Na -4.4286 -5.7125 2.7537
Na -3.0321 -2.6235 2.7726
Na -8.1428 1.4518 3.5890
Na -3.8766 -4.2231 -0.0692
Na -10.7701 0.0589 4.8732
Na -12.4981 -4.8065 5.1901
Na -5.6404 0.3570 0.1990
Na -7.3616 -4.5270 0.4407
Na -7.6419 0.9624 7.0541
Na -10.0484 -5.8637 1.7630
Na -5.7958 -2.1400 -1.9353
As -7.7650 -1.2682 4.6213
As -5.1352 -6.8670 -0.2501
As -6.6042 -2.4064 8.5176
As -7.7696 0.2714 -1.7824
As -7.5519 -5.2911 3.4542
As -4.4784 -3.3983 5.1725
As -10.4074 -4.7303 7.2529
As -5.6024 -2.3303 1.3797
As -12.9281 2.4713 5.7289
As -10.6359 0.9470 1.9098
As -10.5123 0.3230 8.0806
As -1.5825 -4.9506 1.8010
Ga -5.8115 -1.5459 6.3228
Ga -7.3418 -6.9510 -1.6331
Nb -6.4002 -3.0875 3.6009
Nb -10.8528 2.5961 7.1208

=====

# 5
! NaGa2AsO, relaxed, DFT PBEsol; values from VASP
! symmetry	No. 123
! total moment	0.00	μB per cell
! mass density	4.07	g/cm³
! formation energy without anion corrections	2	meV/atom
&SYSTEM
  ibrav = 0, nat = 5, ntyp = 4
/
ATOMIC_SPECIES
As 74.92 As.upf
Ga 69.72 Ga.upf
Na 22.99 Na.upf
O 16.00 O.upf
CELL_PARAMETERS angstrom
-1.7188 -3.4834 0.4215
2.9857 -1.9238 -3.7230
3.5267 -1.3157 3.5082
ATOMIC_POSITIONS angstrom
As 0.0000 0.0000 0.0000
Ga 1.7634 -0.6579 1.7541
Ga 1.4929 -0.9619 -1.8615
Na 2.3968 -3.3614 0.1033
O -0.8594 -1.7417 0.2108

=====

# 6
! Nb2GaReAs, relaxed, DFT PBEsol; values from VASP
! symmetry	No. 123
! total moment	0.00	μB per cell
! energy of formation from the pure elements	4.94	eV/f.u.
! mass density	7.89	g/cm³
&SYSTEM
  ibrav = 0, nat = 5, ntyp = 4
/
ATOMIC_SPECIES
Nb 92.91 Nb.upf
Re 186.21 Re.upf
Ga 69.72 Ga.upf
As 74.92 As.upf
CELL_PARAMETERS angstrom
-2.4941 -1.2150 -3.7729
1.4648 -4.5632 0.5012
-3.8064 -0.9132 2.8103
ATOMIC_POSITIONS angstrom
Nb -1.9032 -0.4566 1.4051
Nb 0.7324 -2.2816 0.2506
Re 0.0000 0.0000 0.0000
Ga -1.2471 -0.6075 -1.8865
As -2.4178 -3.3457 -0.2307

=====

# 7
! GaAsP2S, relaxed, DFT PBEsol; values from VASP
! symmetry	No. 123
! total moment	0.00	μB per cell
! mass density	3.82	g/cm³
! formation energy without anion corrections	762	meV/atom
&SYSTEM
  ibrav = 0, nat = 5, ntyp = 4
/
ATOMIC_SPECIES
S 32.06 S.upf
P 30.97 P.upf
As 74.92 As.upf
Ga 69.72 Ga.upf
CELL_PARAMETERS angstrom
-4.4684 -0.9078 1.1740
0.7008 -4.5740 -0.8697
1.3007 -0.6469 4.4502
ATOMIC_POSITIONS angstrom
S 0.6503 -0.3234 2.2251
P -2.2342 -0.4539 0.5870
P 0.3504 -2.2870 -0.4348
As 0.0000 0.0000 0.0000
Ga -1.2335 -3.0644 2.3773

=====

# 8
! GaAs2PSe, relaxed, DFT PBEsol; values from VASP
! symmetry	No. 123
! total moment	0.00	μB per cell
! mass density	5.13	g/cm³
! formation energy without anion corrections	852	meV/atom
&SYSTEM
  ibrav = 0, nat = 5, ntyp = 4
/
ATOMIC_SPECIES
Ga 69.72 Ga.upf
P 30.97 P.upf
As 74.92 As.upf
Se 78.96 Se.upf
CELL_PARAMETERS angstrom
-1.9245 -3.0885 -2.6376
3.9036 -2.8688 0.5111
-2.0348 -2.0720 3.9110
ATOMIC_POSITIONS angstrom
Ga 0.0000 0.0000 0.0000
P -0.9623 -1.5443 -1.3188
As 1.9518 -1.4344 0.2555
As -1.0174 -1.0360 1.9555
Se -0.0279 -4.0147 0.8922

=====

# 9
! GaAs2Pd, relaxed, DFT PBEsol; values from VASP
! symmetry	No. 122
! total moment	0.00	μB per cell
! energy of formation from the pure elements	-0.29	eV/f.u.
! mass density	6.15	g/cm³
&SYSTEM
  ibrav = 0, nat = 8, ntyp = 3
/
ATOMIC_SPECIES
Ga 69.72 Ga.upf
Pd 106.42 Pd.upf
As 74.92 As.upf
CELL_PARAMETERS angstrom
5.4200 0.0000 0.0000
0.0000 5.4200 0.0000
-2.7100 -2.7100 5.9909
ATOMIC_POSITIONS angstrom
Ga 2.7100 0.0000 2.9954
Ga 2.7100 2.7100 0.0000
Pd 0.0000 2.7100 2.9954
Pd 0.0000 0.0000 0.0000
As 1.2836 4.0650 1.4977
As -1.3550 -1.4264 4.4932
As 1.3550 1.4264 4.4932
As 4.1364 1.3550 1.4977

=====

# 10
! GaAsPd5, relaxed, DFT PBEsol; values from VASP
! symmetry	No. 123
! total moment	0.00	μB per cell
! energy of formation from the pure elements	-3.61	eV/f.u.
! mass density	10.67	g/cm³
&SYSTEM
  ibrav = 0, nat = 7, ntyp = 3
/
ATOMIC_SPECIES
Pd 106.42 Pd.upf
As 74.92 As.upf
Ga 69.72 Ga.upf
CELL_PARAMETERS angstrom
-3.5020 1.7080 0.4828
-1.7176 -3.5303 0.0308
0.7786 -0.3196 6.7779
ATOMIC_POSITIONS angstrom
Pd -0.6416 -1.8543 1.9058
Pd -1.1896 0.6235 5.1289
Pd -1.5339 0.7648 2.1318
Pd 0.0000 0.0000 0.0000
Pd -0.2974 -1.9957 4.9029
As 0.3893 -0.1598 3.3889
Ga -2.6098 -0.9112 0.2568

=====

# 11
! RbGa2As2, relaxed, DFT PBEsol; values from VASP
! symmetry	No. 139
! total moment	0.00	μB per cell
! energy of formation from the pure elements	-1.75	eV/f.u.
! mass density	4.78	g/cm³
&SYSTEM
  ibrav = 0, nat = 5, ntyp = 3
/
ATOMIC_SPECIES
Rb 85.47 Rb.upf
As 74.92 As.upf
Ga 69.72 Ga.upf
CELL_PARAMETERS angstrom
4.3429 0.0000 0.0000
0.0000 4.3429 0.0000
-2.1714 -2.1714 6.9074
ATOMIC_POSITIONS angstrom
Rb 0.0000 0.0000 0.0000
As 0.0000 0.0000 4.8558
As 2.1714 2.1714 2.0516
Ga 0.0000 2.1714 3.4537
Ga 2.1714 0.0000 3.4537

=====

# 12
! RbGaAs2Se, relaxed, DFT PBEsol; values from VASP
! symmetry	No. 123
! total moment	0.00	μB per cell
! energy above the most stable polymorph in this dataset	1312	meV per atom
! mass density	3.67	g/cm³
! formation energy without anion corrections	1429	meV/atom
&SYSTEM
  ibrav = 0, nat = 5, ntyp = 4
/
ATOMIC_SPECIES
As 74.92 As.upf
Rb 85.47 Rb.upf
Ga 69.72 Ga.upf
Se 78.96 Se.upf
CELL_PARAMETERS angstrom
5.5352 0.0000 0.0000
0.0000 5.5352 0.0000
0.0000 0.0000 5.6739
ATOMIC_POSITIONS angstrom
As 0.0000 2.7676 0.0000
As 2.7676 0.0000 0.0000
Rb 0.0000 0.0000 0.0000
Ga 2.7676 2.7676 2.8370
Se 0.0000 0.0000 2.8370